# 1
16
Lattice="7.5158 0.0000 0.0000 0.0000 9.2965 0.0000 0.0000 0.0000 6.4238" Properties=species:S:1:pos:R:3 comment="GGA-PBE Tb2PrTc, optimized geometry" relative_energy_ev_per_atom=0.000 n_ef_per_ev_cell=14.363 ef_mev_per_atom=-38 magmom_total_mub_per_atom=0.00 pbc="T T T"
Tb 1.3178 0.6045 1.0303
Tb 1.3178 4.0437 1.0303
Tb 2.4401 5.2527 4.2422
Tb 2.4401 8.6920 4.2422
Tb 5.0758 0.6045 2.1816
Tb 5.0758 4.0437 2.1816
Tb 6.1980 5.2527 5.3935
Tb 6.1980 8.6920 5.3935
Pr 0.3306 2.3241 4.0286
Pr 3.4273 6.9723 0.8167
Pr 4.0885 2.3241 5.6070
Pr 7.1852 6.9723 2.3951
Tc 0.8539 6.9723 6.1295
Tc 2.9040 2.3241 2.9176
Tc 4.6118 6.9723 3.5061
Tc 6.6619 2.3241 0.2943

***

# 2
9
Lattice="6.3681 0.0000 0.0000 -3.1840 5.5149 0.0000 0.0000 0.0000 8.9048" Properties=species:S:1:pos:R:3 comment="GGA-PBE CsTa2Se6, optimized geometry" n_ef_per_ev_cell=4.065 formation_energy_uncorrected_ev_per_atom=-0.7333 magmom_total_mub_per_atom=0.00 pbc="T T T"
Cs 0.0000 0.0000 0.0000
Ta 0.0000 3.6766 4.4524
Ta 3.1840 1.8383 4.4524
Se -1.1124 1.9267 5.9768
Se -2.0716 3.5882 2.9280
Se 2.2248 0.0000 5.9768
Se 1.1124 1.9267 2.9280
Se 4.1433 0.0000 2.9280
Se 2.0716 3.5882 5.9768

***

# 3
16
Lattice="3.5096 2.0263 5.7026 -3.5096 2.0263 5.7026 0.0000 -4.0525 5.7026" Properties=species:S:1:pos:R:3 comment="GGA-PBE Ca4CeNp3N8, optimized geometry" n_ef_per_ev_cell=21.546 formation_energy_uncorrected_ev_per_atom=-1.1952 magmom_total_mub_per_atom=0.56 pbc="T T T"
Ca 0.0000 0.0000 0.0000
Ca -1.7548 -1.0131 5.7026
Ca -1.7548 1.0131 11.4052
Ca 0.0000 2.0263 5.7026
Ce 0.0000 0.0000 8.5539
Np -3.5096 0.0000 8.5539
Np -1.7548 1.0131 2.8513
Np 1.7548 1.0131 2.8513
N -1.8250 -1.0537 9.7791
N 0.0000 0.0000 4.0908
N 0.0000 -2.1073 7.3287
N -1.8250 1.0537 7.3287
N 1.8250 -1.0537 9.7791
N 0.0000 2.1073 9.7791
N 0.0000 0.0000 13.0170
N 1.8250 1.0537 7.3287

***

# 4
8
Lattice="7.5835 0.0000 0.0000 0.0000 7.5835 0.0000 0.0000 0.0000 2.4777" Properties=species:S:1:pos:R:3 comment="GGA-PBE CoTc, optimized geometry" relative_energy_ev_per_atom=0.988 n_ef_per_ev_cell=9.135 ef_mev_per_atom=940 magmom_total_mub_per_atom=0.00 pbc="T T T"
Co 1.2665 1.2665 0.0000
Co 2.5252 5.0583 1.2389
Co 5.0583 2.5252 1.2389
Co 6.3170 6.3170 0.0000
Tc 1.0226 6.5609 0.0000
Tc 2.7692 2.7692 1.2389
Tc 4.8143 4.8143 1.2389
Tc 6.5609 1.0226 0.0000